Entry from Alexandria via LeMat-Bulk: an optimized crystal structure of TaBrCl2 (PBE-GGA). Values from VASP.

The structure in Quantum ESPRESSO input format:
```
&SYSTEM
  ibrav = 0, nat = 4, ntyp = 3
/
ATOMIC_SPECIES
Ta 180.95 Ta.upf
Cl 35.45 Cl.upf
Br 79.90 Br.upf
CELL_PARAMETERS angstrom
-3.109 1.242 -3.966
2.685 -4.864 -0.348
-2.217 -2.297 0.787
ATOMIC_POSITIONS crystal
Ta 0.000 0.500 0.500
Cl 0.000 0.000 0.000
Cl 0.500 0.000 0.500
Br 0.500 0.500 0.000
```

Values from the calculation:
space-group type: C2/m
final energy: -3.84 eV per atom
energy relative to the elements, uncorrected: 0.469 eV/atom
energy above the most stable polymorph in this dataset: 1464.1 meV per atom